1.
The following is a PBE calculation of La4CdSn after structural relaxation, from the Alexandria database.

The structure in POSCAR format:
```
La4CdSn
1.0
-2.192 1.336 -2.126
0.033 -4.655 -2.957
-7.245 -3.429 5.317
La Cd Sn
4 1 1
Direct
0.499 0.997 0.163
0.498 0.997 0.834
0.499 0.498 0.665
0.498 0.497 0.331
0.999 0.997 0.498
0.999 0.497 0.998
```

Summary:
E above lowest polymorph, eV per formula unit: 0.23
Formation energy from the elements, meV/atom: -212
Final energy, eV/atom: -4.32
Total magnetic moment, μB/f.u.: 0.0

2.
The following is a PBE calculation of La3Cd2Sn after structural relaxation, from the Alexandria database.

The structure in POSCAR format:
```
La3Cd2Sn
1.0
-1.873 1.439 -3.086
3.050 -3.247 -3.365
-7.325 -4.509 2.344
La Cd Sn
3 2 1
Direct
0.500 0.500 0.000
0.500 0.837 0.674
0.500 0.163 0.326
0.000 0.324 0.649
0.000 0.676 0.351
0.000 0.000 0.000
```

Summary:
Formation energy from the elements, meV/atom: -488
Final energy, eV/atom: -3.92
Total magnetic moment, μB/f.u.: 0.0

3.
The following is a PBE calculation of LaCd11Sn after structural relaxation, from the Alexandria database.

The structure in POSCAR format:
```
LaCd11Sn
1.0
-2.027 4.726 3.753
-7.441 -0.276 1.866
0.566 -1.507 7.604
La Cd Sn
1 11 1
Direct
0.000 0.000 0.000
0.273 0.211 0.216
0.727 0.789 0.784
0.512 0.789 0.216
0.488 0.211 0.784
0.344 0.649 0.646
0.656 0.351 0.354
0.010 0.351 0.646
0.990 0.649 0.354
0.000 0.500 0.000
0.500 0.000 0.500
0.000 0.000 0.500
0.500 0.500 0.000
```

Summary:
Formation energy from the elements, meV/atom: -104
Final energy, eV/atom: -1.57
Total magnetic moment, μB/f.u.: 0.0

4.
The following is a PBE calculation of LaCdSn after structural relaxation, from the Alexandria database.

The structure in POSCAR format:
```
LaCdSn
1.0
4.364 0.000 0.000
0.000 4.364 0.000
-2.182 -2.182 4.730
Cd Sn La
1 1 1
Direct
0.620 0.620 0.240
0.942 0.942 0.884
0.288 0.288 0.575
```

Summary:
Formation energy from the elements, meV/atom: -292
Final energy, eV/atom: -3.57
Total magnetic moment, μB/f.u.: 0.0

5.
The following is a PBE calculation of La4CdSn2 after structural relaxation, from the Alexandria database.

The structure in POSCAR format:
```
La4CdSn2
1.0
5.250 0.000 1.640
2.369 4.685 1.640
-0.083 -0.051 9.487
Cd Sn La
1 2 4
Direct
0.000 0.000 0.000
0.751 0.751 0.746
0.249 0.249 0.254
0.874 0.874 0.379
0.126 0.126 0.621
0.622 0.622 0.133
0.378 0.378 0.867
```

Summary:
E above lowest polymorph, eV per formula unit: 0.00
Formation energy from the elements, meV/atom: -535
Final energy, eV/atom: -4.63
Total magnetic moment, μB/f.u.: 0.0

6.
The following is a PBE calculation of La3CdSn2 after structural relaxation, from the Alexandria database.

The structure in POSCAR format:
```
La3CdSn2
1.0
-2.212 2.174 -2.995
1.598 -3.465 -3.695
-7.229 -2.794 3.312
La Cd Sn
3 1 2
Direct
0.500 0.500 0.000
0.500 0.828 0.656
0.500 0.172 0.344
0.000 0.000 0.000
0.000 0.341 0.682
0.000 0.659 0.318
```

Summary:
E above lowest polymorph, eV per formula unit: 0.00
Formation energy from the elements, meV/atom: -634
Final energy, eV/atom: -4.58
Total magnetic moment, μB/f.u.: 0.0

7.
The following is a PBE calculation of La3CdSn2 after structural relaxation, from the Alexandria database.

The structure in POSCAR format:
```
La3CdSn2
1.0
-0.795 -5.820 3.193
5.376 -2.284 -2.825
3.181 6.549 5.730
La Cd Sn
6 2 4
Direct
0.652 0.250 0.000
0.348 0.750 0.000
0.286 0.100 0.347
0.939 0.400 0.653
0.061 0.600 0.347
0.714 0.900 0.653
0.859 0.750 0.000
0.141 0.250 0.000
0.547 0.545 0.312
0.765 0.045 0.312
0.235 0.955 0.688
0.453 0.455 0.688
```

Summary:
E above lowest polymorph, eV per formula unit: 0.40
Formation energy from the elements, meV/atom: -567
Final energy, eV/atom: -4.52
Total magnetic moment, μB/f.u.: 0.0

8.
The following is a PBE calculation of LaCd2Sn2 after structural relaxation, from the Alexandria database.

The structure in POSCAR format:
```
LaCd2Sn2
1.0
-4.686 3.341 6.347
4.962 -3.964 5.750
2.205 2.904 0.099
Cd Sn La
4 4 2
Direct
0.381 0.881 0.000
0.881 0.619 0.000
0.619 0.119 0.000
0.119 0.381 0.000
0.180 0.680 0.500
0.680 0.820 0.500
0.820 0.320 0.500
0.320 0.180 0.500
0.000 0.000 0.000
0.500 0.500 0.000
```

Summary:
Formation energy from the elements, meV/atom: -281
Final energy, eV/atom: -3.23
Total magnetic moment, μB/f.u.: 0.0

9.
The following is a PBE calculation of La4Cd2Sn after structural relaxation, from the Alexandria database.

The structure in POSCAR format:
```
La4Cd2Sn
1.0
5.239 0.000 1.637
2.364 4.676 1.637
-0.062 -0.038 9.402
Cd Sn La
2 1 4
Direct
0.749 0.749 0.753
0.251 0.251 0.247
0.000 0.000 0.000
0.871 0.871 0.386
0.129 0.129 0.614
0.619 0.619 0.142
0.381 0.381 0.858
```

Summary:
Formation energy from the elements, meV/atom: -302
Final energy, eV/atom: -3.95
Total magnetic moment, μB/f.u.: 0.0

10.
The following is a PBE calculation of LaCd3Sn after structural relaxation, from the Alexandria database.

The structure in POSCAR format:
```
LaCd3Sn
1.0
-2.090 -4.755 -1.691
1.748 1.035 -5.070
4.734 -2.481 1.126
Cd Sn La
3 1 1
Direct
0.000 0.500 0.000
0.000 0.000 0.500
0.500 0.000 0.000
0.000 0.000 0.000
0.500 0.500 0.500
```

Summary:
E above lowest polymorph, eV per formula unit: 0.00
Formation energy from the elements, meV/atom: 228
Final energy, eV/atom: -2.11
Total magnetic moment, μB/f.u.: 0.0